DFT (meta-GGA SCAN) results for SrTa2Au at its PBEsol-relaxed geometry.

POSCAR file:
```
SrTa2Au
1.0
3.560 0.000 0.000
0.000 3.560 0.000
0.000 0.000 7.338
Sr Ta Au
1 2 1
Cartesian
0.000 0.000 0.000
1.780 1.780 2.455
1.780 1.780 4.884
0.000 0.000 3.669
```

volume	93.0	Å³/f.u.
DFT total energy	-55.525	eV per atom
total magnetization	2.17	μB/cell
energy of formation	625	meV/atom
energy relative to the lowest polymorph listed for this composition	0.1935	eV/atom